(1)
The following is a DFT calculation (PBE-GGA) of a relaxed InCuW2 crystal. Values from VASP.

Quantum ESPRESSO input file:
```
&SYSTEM
  ibrav = 0, nat = 4, ntyp = 3
/
ATOMIC_SPECIES
In 114.82 In.upf
Cu 63.55 Cu.upf
W 183.84 W.upf
CELL_PARAMETERS angstrom
2.753 0.000 0.000
0.000 4.387 0.000
0.000 0.000 5.429
ATOMIC_POSITIONS angstrom
In 0.000 0.000 0.000
Cu 0.000 0.000 2.715
W 1.377 2.194 1.427
W 1.377 2.194 4.002
```

## Properties
* SG: No. 47

=====

(2)
The following is a DFT calculation (PBE-GGA) of a relaxed Hg2P crystal. Values from VASP.

Quantum ESPRESSO input file:
```
&SYSTEM
  ibrav = 0, nat = 6, ntyp = 2
/
ATOMIC_SPECIES
Hg 200.59 Hg.upf
P 30.97 P.upf
CELL_PARAMETERS angstrom
5.213 0.000 0.000
-2.606 4.514 0.000
0.000 0.000 5.563
ATOMIC_POSITIONS angstrom
Hg 0.000 0.000 0.000
Hg 0.000 0.000 2.781
Hg 0.000 3.010 1.391
Hg 2.606 1.505 4.172
P 0.000 3.010 4.172
P 2.606 1.505 1.391
```

## Properties
* SG: No. 194
* energy above the lowest structure with this stoichiometry: 40.1 kJ per mole of atoms

=====

| no. | N(E_F) (states/eV/cell) | E_form (eV per atom) |
| --- | --- | --- |
| 1 | 1.8 | 0.545 |
| 2 | 4.3 | 0.504 |